No. 1
Entry from Alexandria: crystalline ThTlCuPt at its relaxed geometry (PBE).

E_form   -0.437 eV/atom

The structure in POSCAR format:
```
ThTlCuPt
1.0
4.9442 0.0000 0.0000
2.4721 4.2818 0.0000
2.4721 1.4273 4.0369
Th Pt Tl Cu
1 1 1 1
direct
0.0000 0.0000 0.0000
0.7500 0.7500 0.7500
0.5000 0.5000 0.5000
0.2500 0.2500 0.2500
```

---

No. 2
Entry from Alexandria: crystalline TmThCuPt at its relaxed geometry (PBE).

E_form   -0.745 eV/atom
Offset from the most stable computed form   0.000 eV/f.u.

The structure in POSCAR format:
```
TmThCuPt
1.0
-0.7352 3.6112 0.8889
-4.2211 -1.1365 1.1257
1.9380 -2.7105 4.5305
Pt Tm Cu Th
1 1 1 1
direct
0.5807 0.5000 0.1615
0.1393 0.0000 0.2785
0.4199 0.0000 0.8398
0.8601 0.5000 0.7202
```

---

No. 3
Entry from Alexandria: crystalline TmThCuPt at its relaxed geometry (PBE).

E_form   -0.663 eV/atom
Offset from the most stable computed form   0.327 eV/f.u.

The structure in POSCAR format:
```
TmThCuPt
1.0
5.0036 0.0000 0.0000
2.5018 4.3333 0.0000
2.5018 1.4444 4.0855
Th Pt Cu Tm
1 1 1 1
direct
0.5000 0.5000 0.5000
0.2500 0.2500 0.2500
0.7500 0.7500 0.7500
0.0000 0.0000 0.0000
```

---

No. 4
Entry from Alexandria: crystalline ThZn2CuPt4 at its relaxed geometry (PBE).

E_form   -0.671 eV/atom

The structure in POSCAR format:
```
ThZn2CuPt4
1.0
4.3168 0.0000 0.0000
2.1584 3.7385 0.0000
2.1584 1.2462 8.5642
Pt Zn Cu Th
4 2 1 1
direct
0.3991 0.3991 0.8028
0.1304 0.1304 0.6088
0.8696 0.8696 0.3912
0.6009 0.6009 0.1972
0.2364 0.2364 0.2909
0.7636 0.7636 0.7091
0.5000 0.5000 0.5000
0.0000 0.0000 0.0000
```

---

No. 5
Entry from Alexandria: crystalline ThZnCuPt3 at its relaxed geometry (PBE).

E_form   -0.574 eV/atom

The structure in POSCAR format:
```
ThZnCuPt3
1.0
5.8018 0.0000 0.0000
0.0000 5.6532 0.0000
0.0000 -2.8266 6.6582
Pt Cu Zn Th
6 2 2 2
direct
0.2500 0.1828 0.3655
0.5000 0.2455 0.0000
0.0000 0.2455 0.0000
0.0000 0.7545 0.0000
0.7500 0.8172 0.6345
0.5000 0.7545 0.0000
0.2500 0.8787 0.7574
0.7500 0.1213 0.2426
0.7500 0.6242 0.2484
0.2500 0.3758 0.7516
0.7500 0.3283 0.6566
0.2500 0.6717 0.3434
```

---

No. 6
Entry from Alexandria: crystalline Th2ZnCuPt6 at its relaxed geometry (PBE).

E_form   -0.322 eV/atom

The structure in POSCAR format:
```
Th2ZnCuPt6
1.0
6.6113 -0.0004 0.0000
0.0004 6.6113 0.0000
3.3058 3.3055 4.6749
Pt Zn Th Cu
6 1 2 1
direct
0.2493 0.2493 0.5014
0.7507 0.2493 0.0000
0.2493 0.2493 0.0000
0.2493 0.7507 0.0000
0.7507 0.7507 0.4986
0.7507 0.7507 0.0000
0.5000 0.5000 0.0000
0.7500 0.2500 0.5000
0.2500 0.7500 0.5000
0.0000 0.0000 0.0000
```

---

Short version: final energy = -5.4181; -6.2517; -6.1699; -5.4493; -5.7263; -5.9673 eV per atom, in the order given.